This record from Alexandria describes a relaxed Mn5SnO8 crystal. The functional is GGA-PBEsol.

```
data_Mn5SnO8
_chemical_formula_sum 'Mn10 Sn2 O16'
_symmetry_space_group_name_H-M 'I -4 m 2'
_symmetry_Int_Tables_number 119
_symmetry_space_group_name_Hall 'I -4 -2'
_cell_length_a 5.891
_cell_length_b 5.891
_cell_length_c 9.488
_cell_angle_alpha 90.00
_cell_angle_beta 90.00
_cell_angle_gamma 90.00
loop_
_atom_site_label
_atom_site_type_symbol
_atom_site_fract_x
_atom_site_fract_y
_atom_site_fract_z
_atom_site_occupancy
Mn1 Mn 0.000 0.000 0.000 1
Mn2 Mn 0.000 0.255 0.379 1
Sn1 Sn 0.000 0.500 0.750 1
O1 O 0.000 0.213 0.613 1
O2 O 0.000 0.277 0.128 1
```

---

This record from Alexandria describes a relaxed MnSnO3 crystal. The functional is GGA-PBEsol.

```
data_MnSnO3
_chemical_formula_sum 'Mn6 Sn6 O18'
_symmetry_space_group_name_H-M 'R 3 c'
_symmetry_Int_Tables_number 161
_symmetry_space_group_name_Hall 'R 3 -2"c'
_cell_length_a 5.3807
_cell_length_b 5.3807
_cell_length_c 14.0857
_cell_angle_alpha 90.00
_cell_angle_beta 90.00
_cell_angle_gamma 120.00
loop_
_atom_site_label
_atom_site_type_symbol
_atom_site_fract_x
_atom_site_fract_y
_atom_site_fract_z
_atom_site_occupancy
Mn1 Mn 0.0000 0.0000 0.0000 1
Sn1 Sn 0.0000 0.0000 0.2183 1
O1 O 0.0428 0.3583 0.2863 1
```

---

This record from Alexandria describes a relaxed Mn5SnO8 crystal. The functional is GGA-PBEsol.

```
data_Mn5SnO8
_chemical_formula_sum 'Mn10 Sn2 O16'
_symmetry_space_group_name_H-M 'P 1'
_symmetry_Int_Tables_number 1
_cell_length_a 5.832
_cell_length_b 6.251
_cell_length_c 10.353
_cell_angle_alpha 85.60
_cell_angle_beta 74.07
_cell_angle_gamma 62.96
loop_
_symmetry_equiv_pos_as_xyz
'x,y,z'
loop_
_atom_site_label
_atom_site_type_symbol
_atom_site_fract_x
_atom_site_fract_y
_atom_site_fract_z
_atom_site_occupancy
Mn1 Mn 0.000 0.000 0.000 1
Mn2 Mn 0.000 0.240 0.759 1
Mn3 Mn 0.000 0.500 0.500 1
Mn4 Mn 0.000 0.742 0.259 1
Mn5 Mn 0.019 0.233 0.250 1
Mn6 Mn 0.020 0.732 0.750 1
Mn7 Mn 0.384 0.301 0.940 1
Mn8 Mn 0.384 0.803 0.440 1
Mn9 Mn 0.502 0.233 0.250 1
Mn10 Mn 0.502 0.732 0.750 1
Sn1 Sn 0.622 0.677 0.065 1
Sn2 Sn 0.623 0.175 0.565 1
O1 O 0.200 0.890 0.136 1
O2 O 0.201 0.389 0.635 1
O3 O 0.235 0.611 0.376 1
O4 O 0.236 0.110 0.876 1
O5 O 0.254 0.132 0.369 1
O6 O 0.254 0.360 0.140 1
O7 O 0.254 0.631 0.869 1
O8 O 0.254 0.859 0.640 1
O9 O 0.768 0.113 0.353 1
O10 O 0.769 0.326 0.139 1
O11 O 0.770 0.611 0.852 1
O12 O 0.770 0.825 0.639 1
O13 O 0.780 0.378 0.632 1
O14 O 0.780 0.879 0.132 1
O15 O 0.782 0.105 0.874 1
O16 O 0.782 0.606 0.374 1
```

---

no.,formation energy from raw total energies (meV/atom),electronic total energy (eV per atom),size of the total moment (μB/f.u.)
1,-1407.9,-8.20,20.82
2,-1469.0,-7.42,4.98
3,-1442.3,-8.23,10.96